[1]
DFT (PBE) results for a relaxed structure of NaCu5C6.

a b c (Å): 7.334 10.902 7.220
angles (deg): 90.00 90.00 90.00
Space group Pnma (No. 62)
Unique sites:
Na  0.058  0.250  0.182 [4 per cell]
Cu  0.052  0.539  0.319 [8 per cell]
Cu  0.100  0.750  0.428 [4 per cell]
Cu  0.193  0.553  0.010 [8 per cell]
C  0.080  0.691  0.147 [8 per cell]
C  0.141  0.606  0.583 [8 per cell]
C  0.197  0.562  0.741 [8 per cell]

Values from the calculation:
Calculated total energy: -274.00 eV per cell

[2]
DFT (PBE) results for a relaxed structure of Nb3CuC.

a b c (Å): 4.273 4.273 4.273
angles (deg): 90.00 90.00 90.00
Space group Pm-3m (No. 221)
Unique sites:
Nb  0.000  0.000  0.500 [3 per cell]
Cu  0.500  0.500  0.500 [1 per cell]
C  0.000  0.000  0.000 [1 per cell]

Values from the calculation:
Calculated total energy: -43.35 eV per cell
Total magnetic moment: 0.00 μB/f.u.

[3]
DFT (PBE) results for a relaxed structure of Nb2CuC.

a b c (Å): 3.1464 3.1464 13.3345
angles (deg): 90.00 90.00 120.00
Space group P6_3/mmc (No. 194)
Unique sites:
Nb  0.3333  0.6667  0.0911 [4 per cell]
Cu  0.3333  0.6667  0.7500 [2 per cell]
C  0.0000  0.0000  0.0000 [2 per cell]

Values from the calculation:
Calculated total energy: -67.70 eV per cell
Total magnetic moment: 0.01 μB/f.u.

[4]
DFT (PBE) results for a relaxed structure of Nb4CuC3.

a b c (Å): 3.1546 3.1546 23.8383
angles (deg): 90.00 90.00 120.00
Space group P6_3/mmc (No. 194)
Unique sites:
Nb  0.0000  0.0000  0.1611 [4 per cell]
Nb  0.3333  0.6667  0.0563 [4 per cell]
Cu  0.3333  0.6667  0.2500 [2 per cell]
C  0.0000  0.0000  0.0000 [2 per cell]
C  0.3333  0.6667  0.6118 [4 per cell]

Values from the calculation:
Calculated total energy: -149.05 eV per cell
Total magnetic moment: 0.01 μB/f.u.

[5]
DFT (PBE) results for a relaxed structure of Nb3CuC2.

a b c (Å): 3.2036 3.2036 17.9493
angles (deg): 90.00 90.00 120.00
Space group P6_3/mmc (No. 194)
Unique sites:
Nb  0.0000  0.0000  0.0000 [2 per cell]
Nb  0.3333  0.6667  0.1368 [4 per cell]
Cu  0.0000  0.0000  0.2500 [2 per cell]
C  0.3333  0.6667  0.5755 [4 per cell]

Values from the calculation:
Calculated total energy: -108.36 eV per cell
Total magnetic moment: 0.00 μB/f.u.

[6]
DFT (PBE) results for a relaxed structure of Nb2CuC.

a b c (Å): 9.451 5.451 13.648
angles (deg): 90.00 103.34 90.00
Space group C2/c (No. 15)
Unique sites:
Nb  0.052  0.083  0.407 [8 per cell]
Nb  0.114  0.416  0.591 [8 per cell]
Nb  0.220  0.417  0.909 [8 per cell]
Cu  0.000  0.432  0.250 [4 per cell]
Cu  0.173  0.089  0.750 [8 per cell]
C  0.083  0.249  0.000 [8 per cell]
C  0.250  0.250  0.500 [4 per cell]

Values from the calculation:
Calculated total energy: -406.18 eV per cell
Total magnetic moment: 0.00 μB/f.u.

> Which value of calculated total energy does entry 6 give?

-406.18 eV per cell

> Which formula does entry 6 have?

Nb2CuC

> The lowest calculated total energy belongs to which entry?

number 6

> The lowest calculated total energy belongs to which entry?

number 6